1.
# NdErCdCu | Alexandria via LeMat-Bulk | PBE | relaxed
# DFT formation energy ... -0.20 eV per atom
data_NdErCdCu
_chemical_formula_sum 'Nd4 Er4 Cd4 Cu4'
_cell_length_a 7.333
_cell_length_b 7.333
_cell_length_c 7.333
_cell_angle_alpha 90.00
_cell_angle_beta 90.00
_cell_angle_gamma 90.00
_symmetry_space_group_name_H-M 'F -4 3 m'
_symmetry_Int_Tables_number 216
_symmetry_space_group_name_Hall 'F -4 2 3'
loop_
_atom_site_label
_atom_site_type_symbol
_atom_site_fract_x
_atom_site_fract_y
_atom_site_fract_z
_atom_site_occupancy
Nd1 Nd 0.000 0.000 0.000 1
Er1 Er 0.000 0.000 0.500 1
Cd1 Cd 0.250 0.250 0.750 1
Cu1 Cu 0.250 0.250 0.250 1

2.
# LiTc | Alexandria via LeMat-Bulk | PBE | relaxed
# DFT formation energy ... 0.78 eV per atom
# Relative energy among the computed polymorphs ... 0.6836 eV/atom
data_LiTc
_chemical_formula_sum 'Li1 Tc1'
_cell_length_a 2.925
_cell_length_b 2.925
_cell_length_c 2.925
_cell_angle_alpha 90.00
_cell_angle_beta 90.00
_cell_angle_gamma 90.00
_symmetry_space_group_name_H-M 'P m -3 m'
_symmetry_Int_Tables_number 221
_symmetry_space_group_name_Hall '-P 4 2 3'
loop_
_atom_site_label
_atom_site_type_symbol
_atom_site_fract_x
_atom_site_fract_y
_atom_site_fract_z
_atom_site_occupancy
Li1 Li 0.000 0.000 0.000 1
Tc1 Tc 0.500 0.500 0.500 1

3.
# NdGd4Y | Alexandria via LeMat-Bulk | PBE | relaxed
# DFT formation energy ... 0.24 eV per atom
data_NdGd4Y
_chemical_formula_sum 'Nd4 Gd16 Y4'
_cell_length_a 9.363
_cell_length_b 9.363
_cell_length_c 9.363
_cell_angle_alpha 90.00
_cell_angle_beta 90.00
_cell_angle_gamma 90.00
_symmetry_space_group_name_H-M 'F -4 3 m'
_symmetry_Int_Tables_number 216
_symmetry_space_group_name_Hall 'F -4 2 3'
loop_
_atom_site_label
_atom_site_type_symbol
_atom_site_fract_x
_atom_site_fract_y
_atom_site_fract_z
_atom_site_occupancy
Nd1 Nd 0.000 0.000 0.000 1
Gd1 Gd 0.125 0.125 0.375 1
Y1 Y 0.250 0.250 0.750 1

4.
# Ba2FeBr | Alexandria via LeMat-Bulk | PBE | relaxed
# Relative energy among the computed polymorphs ... 0.2353 eV/atom
# ΔE_f (raw) ... -30 kJ/mol of formula units
data_Ba2FeBr
_chemical_formula_sum 'Ba4 Fe2 Br2'
_cell_length_a 4.642
_cell_length_b 4.642
_cell_length_c 13.919
_cell_angle_alpha 90.00
_cell_angle_beta 90.00
_cell_angle_gamma 90.00
_symmetry_space_group_name_H-M 'I -4 m 2'
_symmetry_Int_Tables_number 119
_symmetry_space_group_name_Hall 'I -4 -2'
loop_
_atom_site_label
_atom_site_type_symbol
_atom_site_fract_x
_atom_site_fract_y
_atom_site_fract_z
_atom_site_occupancy
Ba1 Ba 0.000 0.000 0.000 1
Ba2 Ba 0.000 0.500 0.250 1
Fe1 Fe 0.000 0.000 0.500 1
Br1 Br 0.000 0.500 0.750 1

Values of size of the total moment, in order: 0.0, 0.0, 28.5, 2.1, all in μB/f.u..
Values of N(E_F), in order: 2.63, 2.93, 12.57, 8.14, all in states/eV/f.u..
Values of total DFT energy (no corrections), in order: -0.2784, -0.3941, -0.8098, -0.2627, all in Ry/atom.